No. 1
Li2YRe: relaxed, PBE.

The formation energy comes out at 0.4005 eV per atom. As for the density of states at the Fermi level: 0.804 states/eV/atom. For the energy relative to the lowest polymorph listed for this composition, the calculation gives 0.011 eV per atom. The calculation puts the electronic total energy at -5.28 eV/atom.

It has space group Cmm2 (No. 35), with a = 3.335 Å, b = 4.751 Å, c = 9.911 Å, α = 90.00°, β = 90.00° and γ = 90.00°. The inequivalent atoms are Li at (0.000, 0.000, 0.000), Li at (0.000, 0.500, 0.257), Y at (0.000, 0.500, 0.700) and Re at (0.000, 0.000, 0.471).

=====

No. 2
U2GaPt8: relaxed, PBE.

The formation energy comes out at -0.5139 eV per atom. As for the density of states at the Fermi level: 1.024 states/eV/atom. The calculation puts the electronic total energy at -7.23 eV/atom.

It has space group C2/m (No. 12), with a = 7.359 Å, b = 14.054 Å, c = 5.200 Å, α = 90.00°, β = 130.80° and γ = 90.00°. The inequivalent atoms are U at (0.000, 0.182, 0.000), Ga at (0.000, 0.500, 0.500), Pt at (0.000, 0.319, 0.500), Pt at (0.047, 0.000, 0.289) and Pt at (0.243, 0.360, 0.232).

=====

No. 3
Ta2GaCl: relaxed, PBE.

As for the density of states at the Fermi level: 0.051 states/eV/atom. For the energy relative to the lowest polymorph listed for this composition, the calculation gives 0.000 eV per atom. The calculation puts the electronic total energy at -6.83 eV/atom.

It has space group Fm-3m (No. 225), with a = 6.419 Å, b = 6.419 Å, c = 6.419 Å, α = 90.00°, β = 90.00° and γ = 90.00°. The inequivalent atoms are Ta at (0.250, 0.250, 0.250), Ga at (0.000, 0.000, 0.000) and Cl at (0.000, 0.000, 0.500).

=====

No. 4
EuIn2: relaxed, PBE.

The formation energy comes out at -0.4254 eV per atom. As for the density of states at the Fermi level: 1.872 states/eV/atom. The calculation puts the electronic total energy at -5.68 eV/atom.

It has space group Fd-3m (No. 227, origin choice 2), with a = 8.762 Å, b = 8.762 Å, c = 8.762 Å, α = 90.00°, β = 90.00° and γ = 90.00°. The inequivalent atoms are Eu at (0.125, 0.125, 0.125) and In at (0.000, 0.000, 0.500).

=====

No. 5
CsK3Rb: relaxed, PBE.

The formation energy comes out at 0.0172 eV per atom. As for the density of states at the Fermi level: 0.939 states/eV/atom. For the energy relative to the lowest polymorph listed for this composition, the calculation gives 0.007 eV per atom. The calculation puts the electronic total energy at -1.01 eV/atom.

It has space group P2_1/m (No. 11), with a = 7.455 Å, b = 9.539 Å, c = 12.360 Å, α = 90.00°, β = 107.46° and γ = 90.00°. The inequivalent atoms are Cs at (0.001, 0.250, 0.002), K at (0.202, 0.250, 0.398), K at (0.389, 0.501, 0.779) and Rb at (0.200, 0.750, 0.404).

=====

No. 6
Na3Sc3SiS8: relaxed, PBE.

The calculation puts the electronic total energy at -5.56 eV/atom.

It has space group R-3m (No. 166, hexagonal axes), with a = 7.3764 Å, b = 7.3764 Å, c = 20.2020 Å, α = 90.00°, β = 90.00° and γ = 120.00°. The inequivalent atoms are Na at (0.0000, 0.5000, 0.0000), Sc at (0.0000, 0.5000, 0.5000), Si at (0.0000, 0.0000, 0.5000), S at (0.0000, 0.0000, 0.2382) and S at (0.0288, 0.5144, 0.2335).

=====

No. 7
Er2BiO2: relaxed, PBE.

As for the density of states at the Fermi level: 0.097 states/eV/atom. The calculation puts the electronic total energy at -7.30 eV/atom.

It has space group I4/mmm (No. 139), with a = 3.852 Å, b = 3.852 Å, c = 13.472 Å, α = 90.00°, β = 90.00° and γ = 90.00°. The inequivalent atoms are Er at (0.000, 0.000, 0.169), Bi at (0.000, 0.000, 0.500) and O at (0.000, 0.500, 0.250).

=====

Look up the electronic total energy of the third one. -6.83 eV/atom

=====

Among the records above, which one has the lowest electronic total energy? Er2BiO2

=====

Look up the electronic total energy of the fifth one. -1.01 eV/atom

=====

Which of these has the lowest electronic total energy? Er2BiO2